# 1
DFT (PBE) results for In16Ga12Sn after structural relaxation.

## Properties
Total magnetic moment: 0.00 μB/atom
Space-group type: Cm (8)
Raw total energy: -2.8625 eV per atom
ΔH_f (0 K): 0.04 eV/atom

Unit cell a=10.2830 b=10.2828 c=9.0655 alpha=107.95 beta=107.95 gamma=116.55
Fractional coordinates of all 29 atoms:
Ga 0.1627 0.8067 0.8056
Ga 0.9946 0.3618 0.1851
Ga 0.1991 0.0112 0.3809
Ga 0.6283 0.8041 0.6151
Ga 0.3618 0.9946 0.1851
Ga 0.8067 0.1627 0.8056
Ga 0.1787 0.3565 0.0033
Ga 0.3565 0.1787 0.0033
Ga 0.8394 0.8394 0.1976
Ga 0.0112 0.1991 0.3809
Ga 0.8041 0.6283 0.6151
Ga 0.6416 0.6416 0.8180
In 0.4072 0.0012 0.6996
In 0.6048 0.2814 0.5980
In 0.6848 0.0035 0.3992
In 0.9896 0.9896 0.6328
In 0.7123 0.3024 0.3034
In 0.9893 0.6670 0.9979
In 0.3984 0.6860 0.9988
In 0.0067 0.0067 0.0034
In 0.0035 0.6848 0.3992
In 0.6860 0.3984 0.9988
In 0.3579 0.3579 0.3735
In 0.3024 0.7123 0.3034
In 0.2814 0.6048 0.5980
In 0.3282 0.3282 0.7364
In 0.6670 0.9893 0.9979
In 0.0012 0.4072 0.6996
Sn 0.5946 0.5946 0.2645


# 2
DFT (PBE) results for Pu2ThMn3 after structural relaxation.

## Properties
Total magnetic moment: 0.74 μB/atom
Space-group type: P-1 (2)
Raw total energy: -10.4631 eV per atom
ΔH_f (0 K): 0.14 eV/atom

Unit cell a=4.3363 b=6.9488 c=8.1906 alpha=107.08 beta=99.94 gamma=88.86
Fractional coordinates of all 12 atoms:
Pu 0.0048 0.8606 0.1345
Pu 0.3873 0.2186 0.6329
Pu 0.6127 0.7814 0.3671
Pu 0.9952 0.1394 0.8655
Mn 0.6304 0.0984 0.1511
Mn 0.8668 0.1712 0.4819
Mn 0.7165 0.3894 0.0012
Mn 0.3696 0.9016 0.8489
Mn 0.2835 0.6106 0.9988
Mn 0.1332 0.8288 0.5181
Th 0.2077 0.3968 0.2937
Th 0.7923 0.6032 0.7063


# 3
DFT (PBE) results for Ac2EuSn after structural relaxation.

## Properties
Total magnetic moment: 1.95 μB/atom
Space-group type: Fm-3m (225)
Energy relative to the lowest polymorph listed for this composition: 47 kJ/mol of formula units
Raw total energy: -5.8533 eV per atom
ΔH_f (0 K): -0.23 eV/atom

Unit cell a=5.9235 b=5.9235 c=5.9235 alpha=60.00 beta=60.00 gamma=60.00
Fractional coordinates of all 4 atoms:
Sn 0.5000 0.5000 0.5000
Ac 0.7500 0.7500 0.7500
Ac 0.2500 0.2500 0.2500
Eu 0.0000 0.0000 0.0000


# 4
DFT (PBE) results for SrCd2Mo2 after structural relaxation.

## Properties
Total magnetic moment: 0.00 μB/atom
Space-group type: I4/mmm (139)
Energy relative to the lowest polymorph listed for this composition: 48 kJ/mol of formula units
Raw total energy: -4.4838 eV per atom
ΔH_f (0 K): 0.55 eV/atom

Unit cell a=4.7561 b=4.7561 c=6.4516 alpha=68.37 beta=68.37 gamma=90.00
Fractional coordinates of all 5 atoms:
Cd 0.7500 0.2500 0.5000
Cd 0.2500 0.7500 0.5000
Mo 0.5958 0.5958 0.8083
Mo 0.4042 0.4042 0.1917
Sr 0.0000 0.0000 0.0000


# 5
DFT (PBE) results for TaTlSe2Br after structural relaxation.

## Properties
Formation energy from raw total energies: 1179 meV/atom
Total magnetic moment: 0.53 μB/atom
Space-group type: P4/mmm (123)
Energy relative to the lowest polymorph listed for this composition: 784 kJ/mol of formula units
Raw total energy: -3.3933 eV per atom

Unit cell a=5.3331 b=5.3331 c=5.3455 alpha=90.00 beta=90.00 gamma=90.00
Fractional coordinates of all 5 atoms:
Tl 0.0000 0.0000 0.0000
Se 0.0000 0.5000 0.0000
Se 0.5000 0.0000 0.0000
Br 0.0000 0.0000 0.5000
Ta 0.5000 0.5000 0.5000


# 6
DFT (PBE) results for KTlCo4Se4 after structural relaxation.

## Properties
Formation energy from raw total energies: -357 meV/atom
Total magnetic moment: 0.40 μB/atom
Space-group type: P4/mmm (123)
Raw total energy: -4.9394 eV per atom

Unit cell a=3.8749 b=3.8749 c=13.4190 alpha=90.00 beta=90.00 gamma=90.00
Fractional coordinates of all 10 atoms:
Co 0.5000 0.0000 0.2517
Co 0.5000 0.0000 0.7483
Co 0.0000 0.5000 0.2517
Co 0.0000 0.5000 0.7483
Se 0.0000 0.0000 0.6500
Se 0.5000 0.5000 0.1531
Se 0.5000 0.5000 0.8469
Se 0.0000 0.0000 0.3500
K 0.5000 0.5000 0.5000
Tl 0.0000 0.0000 0.0000


The highest total magnetic moment belongs to which entry?
Ac2EuSn


What is the formula in the fourth record?
SrCd2Mo2